No. 1
## W2BrCl (PBE-GGA)

Data for a relaxed W2BrCl crystal.

Cell: 5.507 5.507 5.507 Å, 149.93 121.18 67.47°
Sites, in units of the cell vectors:
Br (0.250, 0.750, 0.500)
W (0.990, 0.990, 0.000)
W (0.510, 0.510, 0.000)
Cl (0.750, 0.250, 0.500)

## Properties
For the formation energy (no corrections), the calculation gives 1.17 eV/atom. The value obtained for the total moment is 0.0 μB/cell. The space-group type is Immm. As for the density: 11.3 Mg/m³. The volume comes out at 70.8 Å³/f.u. The total DFT energy (no corrections) is -6.182 eV per atom.

No. 2
## RbScNb2C (PBE-GGA)

Data for a relaxed RbScNb2C crystal.

Cell: 4.349 5.589 4.349 Å, 90.00 90.00 90.00°
Sites, in units of the cell vectors:
C (0.000, 0.000, 0.000)
Sc (0.500, 0.500, 0.500)
Nb (0.000, 0.000, 0.500)
Nb (0.500, 0.000, 0.000)
Rb (0.000, 0.500, 0.000)

## Properties
The value obtained for the total moment is 0.0 μB/cell. For the formation energy, the calculation gives 0.8777 eV per atom. The space-group type is P4/mmm. As for the density: 5.2 Mg/m³. The volume comes out at 105.7 Å³/f.u. The total DFT energy (no corrections) is -6.455 eV per atom.

No. 3
## Hf2ReHgAs (PBE-GGA)

Data for a relaxed Hf2ReHgAs crystal.

Cell: 5.198 4.780 5.198 Å, 90.00 90.00 90.00°
Each line ends with the local moment (μB).
Sites, in units of the cell vectors:
As (0.000, 0.500, 0.000)  -0.02
Hg (0.000, 0.000, 0.000)  -0.02
Hf (0.000, 0.000, 0.500)  -0.26
Hf (0.500, 0.000, 0.000)  -0.26
Re (0.500, 0.500, 0.500)  1.66

## Properties
The value obtained for the total moment is 1.1 μB/cell. For the formation energy, the calculation gives 1.8910 eV per atom. The space-group type is P4/mmm. As for the density: 10.5 Mg/m³. The volume comes out at 129.1 Å³/f.u. The total DFT energy (no corrections) is -5.570 eV per atom.

No. 4
## LiHoSi2O6 (PBE-GGA)

Data for a relaxed LiHoSi2O6 crystal.

Cell: 5.516 6.953 6.953 Å, 86.29 74.71 74.71°
Sites, in units of the cell vectors:
Ho (0.250, 0.884, 0.116)
Ho (0.750, 0.116, 0.884)
Li (0.250, 0.241, 0.759)
Li (0.750, 0.759, 0.241)
Si (0.203, 0.382, 0.217)
Si (0.297, 0.783, 0.618)
Si (0.703, 0.217, 0.382)
Si (0.797, 0.618, 0.783)
O (0.128, 0.610, 0.143)
O (0.674, 0.791, 0.959)
O (0.934, 0.336, 0.361)
O (0.826, 0.041, 0.209)
O (0.174, 0.959, 0.791)
O (0.434, 0.361, 0.336)
O (0.326, 0.209, 0.041)
O (0.372, 0.857, 0.390)
O (0.628, 0.143, 0.610)
O (0.566, 0.639, 0.664)
O (0.872, 0.390, 0.857)
O (0.066, 0.664, 0.639)

## Properties
For the formation energy (no corrections), the calculation gives -2.94 eV/atom. The value obtained for the total moment is 0.0 μB/cell. The space-group type is C2/c. As for the density: 4.3 Mg/m³. The volume comes out at 124.1 Å³/f.u. The total DFT energy (no corrections) is -7.645 eV per atom.

No. 5
## Cs2CaInI5 (PBE-GGA)

Data for a relaxed Cs2CaInI5 crystal.

Cell: 4.909 11.152 17.466 Å, 90.00 90.00 102.72°
Sites, in units of the cell vectors:
Cs (0.084, 0.168, 0.649)
Cs (0.140, 0.280, 0.299)
Cs (0.860, 0.720, 0.799)
Cs (0.916, 0.832, 0.149)
I (0.363, 0.727, 0.985)
I (0.914, 0.828, 0.575)
I (0.740, 0.481, 0.151)
I (0.303, 0.607, 0.413)
I (0.260, 0.519, 0.651)
I (0.504, 0.008, 0.271)
I (0.496, 0.992, 0.771)
I (0.637, 0.273, 0.485)
I (0.697, 0.393, 0.913)
I (0.086, 0.172, 0.075)
In (0.456, 0.912, 0.452)
In (0.544, 0.088, 0.952)
Ca (0.224, 0.448, 0.029)
Ca (0.776, 0.552, 0.529)

## Properties
For the formation energy (no corrections), the calculation gives -1.31 eV/atom. The value obtained for the total moment is 0.0 μB/cell. The space-group type is Cmc2_1. As for the density: 3.8 Mg/m³. The volume comes out at 466.4 Å³/f.u. The total DFT energy (no corrections) is -2.887 eV per atom.

No. 6
## CrTeRh (PBE-GGA)

Data for a relaxed CrTeRh crystal.

Cell: 3.246 3.246 5.975 Å, 90.00 90.00 120.00°
Each line ends with the local moment (μB).
Sites, in units of the cell vectors:
Rh (0.667, 0.333, 0.310)  0.06
Cr (0.000, 0.000, 0.018)  2.73
Te (0.333, 0.667, 0.672)  -0.08

## Properties
For the formation energy (no corrections), the calculation gives 0.36 eV/atom. The value obtained for the total moment is 2.9 μB/cell. The space-group type is P3m1. As for the density: 8.6 Mg/m³. The volume comes out at 54.5 Å³/f.u. The total DFT energy (no corrections) is -6.342 eV per atom.

No. 7
## UZnFe (PBE-GGA)

Data for a relaxed UZnFe crystal.

Cell: 5.841 5.546 6.448 Å, 90.00 92.53 90.00°
Sites, in units of the cell vectors:
Fe (0.452, 0.379, 0.830)
Fe (0.048, 0.879, 0.670)
Fe (0.952, 0.121, 0.330)
Fe (0.548, 0.621, 0.170)
Zn (0.685, 0.124, 0.616)
Zn (0.815, 0.624, 0.884)
Zn (0.315, 0.876, 0.384)
Zn (0.185, 0.376, 0.116)
U (0.181, 0.385, 0.597)
U (0.681, 0.115, 0.097)
U (0.819, 0.615, 0.403)
U (0.319, 0.885, 0.903)

## Properties
The value obtained for the total moment is 0.0 μB/cell. For the formation energy, the calculation gives -0.0921 eV per atom. The space-group type is P2_1/c. As for the density: 11.4 Mg/m³. The volume comes out at 52.2 Å³/f.u. The total DFT energy (no corrections) is -7.100 eV per atom.

No. 8
## KMg3Fe (PBE-GGA)

Data for a relaxed KMg3Fe crystal.

Cell: 5.148 5.148 5.148 Å, 90.00 90.00 90.00°
Each line ends with the local moment (μB).
Sites, in units of the cell vectors:
Mg (0.500, 0.000, 0.000)  -0.02
Mg (0.000, 0.500, 0.000)  -0.01
Mg (0.000, 0.000, 0.500)  -0.02
K (0.500, 0.500, 0.500)  -0.02
Fe (0.000, 0.000, 0.000)  2.00

## Properties
The value obtained for the total moment is 1.6 μB/cell. For the formation energy, the calculation gives 0.4217 eV per atom. The space-group type is Pm-3m. As for the density: 2.0 Mg/m³. The volume comes out at 136.4 Å³/f.u. The total DFT energy (no corrections) is -2.447 eV per atom.

No. 9
## RbBe3Ag (PBE-GGA)

Data for a relaxed RbBe3Ag crystal.

Cell: 4.626 4.626 4.626 Å, 90.00 90.00 90.00°
Sites, in units of the cell vectors:
Rb (0.500, 0.500, 0.500)
Be (0.500, 0.000, 0.000)
Be (0.000, 0.500, 0.000)
Be (0.000, 0.000, 0.500)
Ag (0.000, 0.000, 0.000)

## Properties
The value obtained for the total moment is 0.0 μB/cell. For the formation energy, the calculation gives 0.8118 eV per atom. The space-group type is Pm-3m. As for the density: 3.7 Mg/m³. The volume comes out at 99.0 Å³/f.u. The total DFT energy (no corrections) is -2.188 eV per atom.

No. 10
## RuW3 (PBE-GGA)

Data for a relaxed RuW3 crystal.

Cell: 4.509 5.078 5.528 Å, 90.00 90.00 90.00°
Sites, in units of the cell vectors:
Ru (0.000, 0.334, 0.000)
Ru (0.500, 0.666, 0.500)
W (0.000, 0.851, 0.235)
W (0.000, 0.379, 0.500)
W (0.500, 0.149, 0.265)
W (0.000, 0.851, 0.765)
W (0.500, 0.621, 0.000)
W (0.500, 0.149, 0.735)

## Properties
The value obtained for the total moment is 0.0 μB/cell. For the formation energy, the calculation gives 0.2972 eV per atom. The space-group type is Pmmn. As for the density: 17.1 Mg/m³. The volume comes out at 63.3 Å³/f.u. The total DFT energy (no corrections) is -11.737 eV per atom.

No. 11
## HfBP2 (PBE-GGA)

Data for a relaxed HfBP2 crystal.

Cell: 6.006 6.006 5.339 Å, 55.78 55.78 90.00°
Sites, in units of the cell vectors:
P (0.217, 0.625, 0.250)
P (0.533, 0.125, 0.250)
P (0.875, 0.783, 0.750)
P (0.375, 0.467, 0.750)
Hf (0.000, 0.000, 0.000)
Hf (0.750, 0.250, 0.500)
B (0.250, 0.750, 0.500)
B (0.500, 0.500, 0.000)

## Properties
The value obtained for the total moment is 0.0 μB/cell. For the formation energy, the calculation gives -0.3167 eV per atom. The space-group type is I-42d. As for the density: 7.1 Mg/m³. The volume comes out at 58.4 Å³/f.u. The total DFT energy (no corrections) is -7.179 eV per atom.

No. 12
## Ir5Os2Rh5 (PBE-GGA)

Data for a relaxed Ir5Os2Rh5 crystal.

Cell: 3.848 6.105 8.184 Å, 72.65 76.40 71.63°
Sites, in units of the cell vectors:
Rh (0.000, 0.000, 0.000)
Rh (0.254, 0.745, 0.748)
Rh (0.836, 0.828, 0.499)
Rh (0.164, 0.172, 0.501)
Rh (0.746, 0.255, 0.252)
Ir (0.421, 0.908, 0.250)
Ir (0.579, 0.092, 0.750)
Ir (0.332, 0.337, 0.999)
Ir (0.668, 0.663, 0.001)
Ir (0.500, 0.500, 0.500)
Os (0.083, 0.587, 0.246)
Os (0.917, 0.413, 0.754)

## Properties
The value obtained for the total moment is 0.0 μB/cell. For the formation energy, the calculation gives -0.0082 eV per atom. The space-group type is C2/m. As for the density: 17.9 Mg/m³. The volume comes out at 172.0 Å³/f.u. The total DFT energy (no corrections) is -8.635 eV per atom.